No. 1
Compound: TiFe3Ge3
Source: Alexandria
Functional: PBE-GGA
Structure: relaxed

Output
The calculation puts the formation energy at 158 kJ/mol of formula units. As for the density of states at the Fermi level: 10.7 states/eV per cell.

a b c (Å): 8.2155 8.2155 3.8375
angles (deg): 90.00 90.00 120.00
Last column: nearest neighbours and their distance in Å.
Space group P6_3/m (No. 176)
Symmetry-distinct sites (fractional):
Ti (0.3333, 0.6667, 0.2500) (multiplicity 2)  3 Fe 2.36
Fe (0.0128, 0.4341, 0.2500) (multiplicity 6)  2 Fe 2.26, 1 Ti 2.36, 3 Ge 2.43-2.46
Ge (0.0829, 0.7816, 0.2500) (multiplicity 6)  4 Fe 2.43-2.61, 1 Ti 2.66


No. 2
Compound: TiFe4Ge
Source: Alexandria
Functional: PBE-GGA
Structure: relaxed

Output
The calculation puts the formation energy at -86 kJ/mol of formula units. As for the density of states at the Fermi level: 15.1 states/eV per cell.

a b c (Å): 6.7231 6.7231 6.7231
angles (deg): 90.00 90.00 90.00
Last column: nearest neighbours and their distance in Å.
Space group F-43m (No. 216)
Symmetry-distinct sites (fractional):
Ti (0.0000, 0.0000, 0.0000) (multiplicity 4)  12 Fe 2.79, 4 Ge 2.91
Fe (0.1249, 0.1249, 0.3751) (multiplicity 16)  6 Fe 2.38
Ge (0.2500, 0.2500, 0.7500) (multiplicity 4)  12 Fe 2.79, 4 Ti 2.91


No. 3
Compound: TiFeGe
Source: Alexandria
Functional: PBE-GGA
Structure: relaxed

Output
The calculation puts the formation energy at -157 kJ/mol of formula units. As for the density of states at the Fermi level: 17.0 states/eV per cell.

a b c (Å): 7.0875 10.9384 6.3784
angles (deg): 90.00 90.00 90.00
Last column: nearest neighbours and their distance in Å.
Space group Ima2 (No. 46)
Symmetry-distinct sites (fractional):
Ti (0.2500, 0.0019, 0.0000) (multiplicity 4)  5 Ge 2.58-2.63, 4 Fe 2.75-2.79
Ti (0.2500, 0.2293, 0.3473) (multiplicity 4)  5 Ge 2.58-2.64, 2 Fe 2.75
Ti (0.2500, 0.6951, 0.8873) (multiplicity 4)  5 Ge 2.60-2.83, 6 Fe 2.66-2.79
Fe (0.0000, 0.0000, 0.3378) (multiplicity 4)  4 Ge 2.43-2.45
Fe (0.0385, 0.6230, 0.2078) (multiplicity 8)  4 Ge 2.38-2.44, 1 Ti 2.66
Ge (0.0075, 0.6673, 0.5816) (multiplicity 8)  3 Fe 2.44-2.45, 6 Ti 2.58-2.62
Ge (0.2500, 0.0343, 0.5911) (multiplicity 4)  6 Fe 2.38-2.43, 2 Ti 2.63-2.64


No. 4
Compound: TiFe2Ge2
Source: Alexandria
Functional: PBE-GGA
Structure: relaxed

Output
The calculation puts the formation energy at -12 kJ/mol of formula units. As for the density of states at the Fermi level: 16.1 states/eV per cell.

a b c (Å): 6.2600 7.8600 6.8432
angles (deg): 90.00 116.98 90.00
Last column: nearest neighbours and their distance in Å.
Space group C2/c (No. 15)
Symmetry-distinct sites (fractional):
Ti (0.0000, 0.1989, 0.2500) (multiplicity 4)  6 Ge 2.53-2.66, 2 Fe 2.82
Fe (0.0000, 0.5000, 0.0000) (multiplicity 4)  4 Ge 2.38-2.62, 2 Fe 2.51
Fe (0.2500, 0.2500, 0.0000) (multiplicity 4)  2 Fe 2.51, 4 Ge 2.68-2.79
Ge (0.1884, 0.0688, 0.6461) (multiplicity 8)  2 Fe 2.38-2.62, 3 Ti 2.53-2.66, 1 Ge 2.54


No. 5
Compound: Ti6Fe5Ge
Source: Alexandria
Functional: PBE-GGA
Structure: relaxed

Output
The calculation puts the formation energy at -441 kJ/mol of formula units. As for the density of states at the Fermi level: 15.0 states/eV per cell.

a b c (Å): 4.2298 6.0277 12.6802
angles (deg): 90.00 90.00 90.00
Last column: nearest neighbours and their distance in Å.
Space group Immm (No. 71)
Symmetry-distinct sites (fractional):
Ti (0.0000, 0.2375, 0.0000) (multiplicity 4)  6 Fe 2.55-2.62, 2 Ge 2.64
Ti (0.0000, 0.2551, 0.3291) (multiplicity 8)  7 Fe 2.56-2.62, 1 Ge 2.66
Fe (0.0000, 0.0000, 0.1680) (multiplicity 4)  8 Ti 2.56-2.58
Fe (0.0000, 0.5000, 0.1644) (multiplicity 4)  8 Ti 2.56-2.62
Fe (0.0000, 0.5000, 0.5000) (multiplicity 2)  8 Ti 2.55-2.62
Ge (0.0000, 0.0000, 0.5000) (multiplicity 2)  8 Ti 2.64-2.66


No. 6
Compound: TiFe2Ge
Source: Alexandria
Functional: PBE-GGA
Structure: relaxed

Output
The calculation puts the formation energy at -122 kJ/mol of formula units. As for the density of states at the Fermi level: 1.2 states/eV per cell.

a b c (Å): 2.9597 2.9597 5.6395
angles (deg): 90.00 90.00 90.00
Last column: nearest neighbours and their distance in Å.
Space group P4/mmm (No. 123)
Symmetry-distinct sites (fractional):
Ti (0.0000, 0.0000, 0.0000) (multiplicity 1)  8 Fe 2.54, 2 Ge 2.82
Fe (0.5000, 0.5000, 0.2567) (multiplicity 2)  4 Ge 2.50, 4 Ti 2.54, 1 Fe 2.74
Ge (0.0000, 0.0000, 0.5000) (multiplicity 1)  8 Fe 2.50


No. 7
Compound: Ti4FeGe3
Source: Alexandria
Functional: PBE-GGA
Structure: relaxed

Output
The calculation puts the formation energy at -457 kJ/mol of formula units. As for the density of states at the Fermi level: 26.5 states/eV per cell.

a b c (Å): 9.8754 9.8754 4.9846
angles (deg): 90.00 90.00 90.00
Last column: nearest neighbours and their distance in Å.
Space group I4/mcm (No. 140)
Symmetry-distinct sites (fractional):
Ti (0.0808, 0.2219, 0.0000) (multiplicity 16)  6 Ge 2.63-2.87, 1 Ti 2.76
Fe (0.0000, 0.5000, 0.2500) (multiplicity 4)  2 Fe 2.49, 4 Ge 2.50
Ge (0.0000, 0.0000, 0.2500) (multiplicity 4)  2 Ge 2.49, 8 Ti 2.64
Ge (0.1548, 0.3452, 0.5000) (multiplicity 8)  2 Fe 2.50, 4 Ti 2.63-2.69


No. 8
Compound: TiFeGe2
Source: Alexandria
Functional: PBE-GGA
Structure: relaxed

Output
The calculation puts the formation energy at -30 kJ/mol of formula units. As for the density of states at the Fermi level: 15.8 states/eV per cell.

a b c (Å): 6.1303 6.1303 6.1303
angles (deg): 90.00 90.00 90.00
Last column: nearest neighbours and their distance in Å.
Space group Fm-3m (No. 225)
Symmetry-distinct sites (fractional):
Ti (0.0000, 0.0000, 0.0000) (multiplicity 4)  8 Ge 2.65
Fe (0.0000, 0.0000, 0.5000) (multiplicity 4)  8 Ge 2.65
Ge (0.2500, 0.2500, 0.2500) (multiplicity 8)  4 Fe 2.65, 4 Ti 2.65


No. 9
Compound: TiFe3Ge
Source: Alexandria
Functional: PBE-GGA
Structure: relaxed

Output
The calculation puts the formation energy at 384 kJ/mol of formula units. As for the density of states at the Fermi level: 5.8 states/eV per cell.

a b c (Å): 4.2095 4.2095 4.2095
angles (deg): 90.00 90.00 90.00
Last column: nearest neighbours and their distance in Å.
Space group Pm-3m (No. 221)
Symmetry-distinct sites (fractional):
Ti (0.0000, 0.0000, 0.0000) (multiplicity 1)  12 Fe 2.98
Fe (0.0000, 0.5000, 0.5000) (multiplicity 3)  2 Ge 2.10
Ge (0.5000, 0.5000, 0.5000) (multiplicity 1)  6 Fe 2.10


No. 10
Compound: Ti12FeGe6
Source: Alexandria
Functional: PBE-GGA
Structure: relaxed

Output
The calculation puts the formation energy at -332 kJ/mol of formula units. As for the density of states at the Fermi level: 61.5 states/eV per cell.

a b c (Å): 10.9258 10.9258 10.0750
angles (deg): 90.00 90.00 120.00
Last column: nearest neighbours and their distance in Å.
Space group R-3 (No. 148, hexagonal axes)
Symmetry-distinct sites (fractional):
Ti (0.0314, 0.8381, 0.3882) (multiplicity 18)  4 Ge 2.57-2.68
Ti (0.0651, 0.8698, 0.8764) (multiplicity 18)  1 Fe 2.26
Fe (0.0000, 0.0000, 0.0000) (multiplicity 3)  6 Ti 2.26
Ge (0.0473, 0.6192, 0.3044) (multiplicity 18)  7 Ti 2.57-2.72


No. 11
Compound: Ti3Fe2Ge2
Source: Alexandria
Functional: PBE-GGA
Structure: relaxed

Output
The calculation puts the formation energy at -293 kJ/mol of formula units. As for the density of states at the Fermi level: 27.4 states/eV per cell.

a b c (Å): 5.2206 6.4529 12.0727
angles (deg): 90.00 90.00 90.00
Last column: nearest neighbours and their distance in Å.
Space group Pbcm (No. 57)
Symmetry-distinct sites (fractional):
Ti (0.1095, 0.2498, 0.2500) (multiplicity 4)  2 Fe 2.54, 3 Ge 2.69-2.80
Ti (0.3519, 0.6039, 0.0991) (multiplicity 8)  2 Fe 2.38-2.58, 3 Ge 2.63-2.66
Fe (0.1214, 0.5781, 0.5890) (multiplicity 8)  3 Ge 2.38-2.44, 3 Ti 2.38-2.58
Ge (0.2257, 0.2500, 0.0000) (multiplicity 4)  4 Fe 2.38-2.44, 2 Ti 2.66
Ge (0.3853, 0.6028, 0.7500) (multiplicity 4)  2 Fe 2.39, 4 Ti 2.63-2.64